[1]
Compound: YZr
Source: Alexandria
Functional: GGA-PBE
Structure: relaxed

```
data_YZr
_symmetry_space_group_name_H-M 'P m m n'
_symmetry_Int_Tables_number 59
_cell_length_a 3.362
_cell_length_b 16.269
_cell_length_c 5.895
_cell_angle_alpha 90.00
_cell_angle_beta 90.00
_cell_angle_gamma 90.00
loop_
_symmetry_equiv_pos_as_xyz
'x,y,z'
'-x,-y,-z'
'-x+1/2,-y+1/2,z'
'x+1/2,y+1/2,-z'
'x+1/2,-y,-z'
'-x+1/2,y,z'
'-x,y+1/2,-z'
'x,-y+1/2,z'
loop_
_atom_site_label
_atom_site_type_symbol
_atom_site_fract_x
_atom_site_fract_y
_atom_site_fract_z
Y1 Y 0.250 0.084 0.079
Y2 Y 0.250 0.750 0.738
Zr1 Zr 0.250 0.250 0.741
Zr2 Zr 0.250 0.582 0.419
```

Properties
DOS(E_F) in states/eV/f.u.: 2.64

***

[2]
Compound: YZr
Source: Alexandria
Functional: GGA-PBE
Structure: relaxed

```
data_YZr
_symmetry_space_group_name_H-M 'F -4 3 m'
_symmetry_Int_Tables_number 216
_symmetry_space_group_name_Hall 'F -4 2 3'
_cell_length_a 6.946
_cell_length_b 6.946
_cell_length_c 6.946
_cell_angle_alpha 90.00
_cell_angle_beta 90.00
_cell_angle_gamma 90.00
loop_
_atom_site_label
_atom_site_type_symbol
_atom_site_fract_x
_atom_site_fract_y
_atom_site_fract_z
Y1 Y 0.000 0.000 0.000
Zr1 Zr 0.250 0.250 0.250
```

Properties
DOS(E_F) in states/eV/f.u.: 3.88

***

[3]
Compound: YZr
Source: Alexandria
Functional: GGA-PBE
Structure: relaxed

```
data_YZr
_symmetry_space_group_name_H-M 'P m -3 n'
_symmetry_Int_Tables_number 223
_symmetry_space_group_name_Hall '-P 4n 2 3'
_cell_length_a 8.314
_cell_length_b 8.314
_cell_length_c 8.314
_cell_angle_alpha 90.00
_cell_angle_beta 90.00
_cell_angle_gamma 90.00
loop_
_atom_site_label
_atom_site_type_symbol
_atom_site_fract_x
_atom_site_fract_y
_atom_site_fract_z
Y1 Y 0.000 0.250 0.500
Zr1 Zr 0.000 0.500 0.250
```

Properties
DOS(E_F) in states/eV/f.u.: 4.73

***

[4]
Compound: Y5Zr3
Source: Alexandria
Functional: GGA-PBE
Structure: relaxed

```
data_Y5Zr3
_symmetry_space_group_name_H-M 'C m m m'
_symmetry_Int_Tables_number 65
_symmetry_space_group_name_Hall '-C 2 2'
_cell_length_a 9.636
_cell_length_b 9.757
_cell_length_c 4.788
_cell_angle_alpha 90.00
_cell_angle_beta 90.00
_cell_angle_gamma 90.00
loop_
_atom_site_label
_atom_site_type_symbol
_atom_site_fract_x
_atom_site_fract_y
_atom_site_fract_z
Y1 Y 0.000 0.000 0.000
Y2 Y 0.000 0.257 0.500
Y3 Y 0.250 0.250 0.000
Zr1 Zr 0.000 0.500 0.000
Zr2 Zr 0.235 0.500 0.500
```

Properties
DOS(E_F) in states/eV/f.u.: 9.79

***

[5]
Compound: Y5Zr
Source: Alexandria
Functional: GGA-PBE
Structure: relaxed

```
data_Y5Zr
_symmetry_space_group_name_H-M 'P 6/m m m'
_symmetry_Int_Tables_number 191
_symmetry_space_group_name_Hall '-P 6 2'
_cell_length_a 6.3022
_cell_length_b 6.3022
_cell_length_c 5.7315
_cell_angle_alpha 90.00
_cell_angle_beta 90.00
_cell_angle_gamma 120.00
loop_
_atom_site_label
_atom_site_type_symbol
_atom_site_fract_x
_atom_site_fract_y
_atom_site_fract_z
Y1 Y 0.0000 0.5000 0.0000
Y2 Y 0.3333 0.6667 0.5000
Zr1 Zr 0.0000 0.0000 0.5000
```

Properties
DOS(E_F) in states/eV/f.u.: 8.12

***

[6]
Compound: YZr
Source: Alexandria
Functional: GGA-PBE
Structure: relaxed

```
data_YZr
_symmetry_space_group_name_H-M 'I m m a'
_symmetry_Int_Tables_number 74
_symmetry_space_group_name_Hall '-I 2b 2'
_cell_length_a 4.779
_cell_length_b 4.798
_cell_length_c 9.379
_cell_angle_alpha 90.00
_cell_angle_beta 90.00
_cell_angle_gamma 90.00
loop_
_atom_site_label
_atom_site_type_symbol
_atom_site_fract_x
_atom_site_fract_y
_atom_site_fract_z
Y1 Y 0.000 0.250 0.125
Zr1 Zr 0.000 0.250 0.626
```

Properties
DOS(E_F) in states/eV/f.u.: 2.86

***

[7]
Compound: YZr
Source: Alexandria
Functional: GGA-PBE
Structure: relaxed

```
data_YZr
_symmetry_space_group_name_H-M 'C m m m'
_symmetry_Int_Tables_number 65
_symmetry_space_group_name_Hall '-C 2 2'
_cell_length_a 7.544
_cell_length_b 8.592
_cell_length_c 3.365
_cell_angle_alpha 90.00
_cell_angle_beta 90.00
_cell_angle_gamma 90.00
loop_
_atom_site_label
_atom_site_type_symbol
_atom_site_fract_x
_atom_site_fract_y
_atom_site_fract_z
Y1 Y 0.000 0.208 0.000
Zr1 Zr 0.194 0.500 0.500
```

Properties
DOS(E_F) in states/eV/f.u.: 2.47

***

[8]
Compound: YZr2
Source: Alexandria
Functional: GGA-PBE
Structure: relaxed

```
data_YZr2
_symmetry_space_group_name_H-M 'F m -3 m'
_symmetry_Int_Tables_number 225
_symmetry_space_group_name_Hall '-F 4 2 3'
_cell_length_a 7.059
_cell_length_b 7.059
_cell_length_c 7.059
_cell_angle_alpha 90.00
_cell_angle_beta 90.00
_cell_angle_gamma 90.00
loop_
_atom_site_label
_atom_site_type_symbol
_atom_site_fract_x
_atom_site_fract_y
_atom_site_fract_z
Y1 Y 0.000 0.000 0.000
Zr1 Zr 0.250 0.250 0.250
```

Properties
DOS(E_F) in states/eV/f.u.: 6.69

***

| no. | V (Å³/atom) | formation energy from the elements (eV per atom) |
| --- | --- | --- |
| 1 | 26.9 | 0.123 |
| 2 | 41.9 | 2.321 |
| 3 | 47.9 | 2.420 |
| 4 | 28.1 | 0.114 |
| 5 | 32.9 | 0.561 |
| 6 | 26.9 | 0.135 |
| 7 | 27.3 | 0.104 |
| 8 | 29.3 | 1.135 |